Crystalline ThPtRh3 at its relaxed geometry. Source: Alexandria via LeMat-Bulk, functional PBE-GGA.

Cell lengths 6.5238, 6.5238, 6.5238 Å; angles 110.03, 132.58, 88.90 degrees
Last column: nearest neighbours and their distance in Å.
Fractional coordinates of all 10 atoms:
Rh  0.7047  0.9547  0.2500  2 Pt 2.67, 6 Rh 2.69-2.76, 1 Th 2.83
Rh  0.0000  0.3093  0.8093  5 Rh 2.62-2.85, 2 Pt 2.71
Rh  0.5000  0.3093  0.3093  5 Rh 2.62-2.85, 2 Pt 2.71
Rh  0.0000  0.6907  0.1907  5 Rh 2.62-2.85, 2 Pt 2.71
Rh  0.2953  0.0453  0.7500  2 Pt 2.67, 6 Rh 2.69-2.76, 1 Th 2.83
Rh  0.5000  0.6907  0.6907  5 Rh 2.62-2.85, 2 Pt 2.71
Th  0.0081  0.2581  0.2500  5 Rh 2.83-2.97
Th  0.9919  0.7419  0.7500  5 Rh 2.83-2.97
Pt  0.5000  0.0000  0.5000  6 Rh 2.67-2.71
Pt  0.5000  0.5000  0.0000  6 Rh 2.67-2.71

Output
symmetry: Imma
DFT formation energy: -55.6 kJ/mol of atoms
total magnetic moment: 0.00 μB per cell
calculated volume: 183 Å³/cell
E: -0.5644 Ry per atom

---

Crystalline PmAuF5 at its relaxed geometry. Source: Alexandria via LeMat-Bulk, functional PBE-GGA.

Cell lengths 5.9925, 6.4860, 8.4006 Å; angles 106.24, 95.51, 104.10 degrees
Last column: nearest neighbours and their distance in Å.
Fractional coordinates of all 14 atoms:
F  0.9981  0.2479  0.2507  2 Pm 2.27
F  0.3022  0.2521  0.9502  1 Au 2.14, 1 Pm 2.28
F  0.2552  0.8687  0.1270  1 Au 2.11, 1 Pm 2.26
F  0.2549  0.3723  0.6309  1 Au 2.11, 1 Pm 2.26
F  0.7427  0.1334  0.8715  1 Au 2.11, 1 Pm 2.26
F  0.3022  0.7476  0.4461  1 Au 2.14, 1 Pm 2.28
F  0.6958  0.7506  0.0485  1 Au 2.14, 1 Pm 2.28
F  0.7432  0.6300  0.3677  1 Au 2.11, 1 Pm 2.26
F  0.0002  0.7545  0.7481  2 Pm 2.27
F  0.6960  0.2554  0.5528  1 Au 2.13, 1 Pm 2.28
Pm  0.9991  0.0012  0.9993  6 F 2.26-2.28
Pm  0.9992  0.5013  0.4993  6 F 2.26-2.28
Au  0.4992  0.2533  0.7514  4 F 2.11-2.14
Au  0.4990  0.7492  0.2474  4 F 2.11-2.14

Output
symmetry: P-1
total magnetic moment: 2.00 μB per cell
calculated volume: 299 Å³/cell
E: -0.3764 Ry per atom

---

Crystalline VCu3S at its relaxed geometry. Source: Alexandria via LeMat-Bulk, functional PBE-GGA.

Cell lengths 4.3325, 4.3325, 4.3325 Å; angles 90.00, 90.00, 90.00 degrees
Last column: nearest neighbours and their distance in Å.
Fractional coordinates of all 5 atoms:
V  0.5000  0.5000  0.5000  12 Cu 3.06
Cu  0.0000  0.0000  0.5000  2 S 2.17
Cu  0.5000  0.0000  0.0000  2 S 2.17
Cu  0.0000  0.5000  0.0000  2 S 2.17
S  0.0000  0.0000  0.0000  6 Cu 2.17

Output
symmetry: Pm-3m
energy relative to the lowest polymorph listed for this composition: 0.0 meV/atom
total magnetic moment: 3.67 μB per cell
calculated volume: 81 Å³/cell
E: -0.3261 Ry per atom